The following is a DFT calculation (PBE-GGA) of an optimized crystal structure of Cs4BiCl6.

Structure (POSCAR):
```
Cs4BiCl6
1.0
-7.4259 -4.2155 -4.3716
-2.8316 -3.7055 8.3831
-5.4315 7.8652 1.6420
Cs Bi Cl
8 2 12
Cartesian
-4.3122 -0.0572 0.3308 Cs
-7.1832 2.7382 6.0854 Cs
-11.3768 0.0015 5.3227 Cs
-11.2216 1.1386 0.3890 Cs
-7.0280 3.8754 1.1518 Cs
-4.4674 -1.1944 5.2645 Cs
-8.5059 -2.7940 -0.4319 Cs
-8.6611 -3.9312 4.5017 Cs
-5.1288 -3.9605 2.0058 Bi
-2.7158 3.9326 0.8210 Bi
-7.5326 -0.6799 6.9819 Cl
-7.7076 -5.6444 1.5411 Cl
-5.0370 -3.2637 -1.0287 Cl
-4.3644 2.3520 2.9389 Cl
-1.1871 1.7190 0.3589 Cl
-6.6574 -1.7469 2.4679 Cl
-5.2205 -4.6573 5.0402 Cl
-4.2444 6.1463 1.2831 Cl
-2.5499 -2.2766 2.4704 Cl
-9.0316 1.6911 3.1856 Cl
-11.3247 -2.4078 2.7146 Cl
-8.1565 0.6241 -1.3284 Cl
```

**Density of states at the Fermi level**: 13.34 states/eV/cell
**Space group**: No. 128
**Final energy**: -3.235 eV per atom
**Raw formation energy**: -36.1 kcal/mol of atoms



The following is a DFT calculation (PBE-GGA) of an optimized crystal structure of Cs3Bi2Cl9.

Structure (POSCAR):
```
Cs3Bi2Cl9
1.0
-5.0407 -5.5625 -2.5004
4.9682 3.4252 -5.1173
6.5963 -6.8079 1.8473
Cs Bi Cl
3 2 9
Cartesian
0.0000 0.0000 0.0000 Cs
2.6089 -7.0182 -2.1647 Cs
3.9150 -1.9270 -3.6056 Cs
-0.5268 -3.7820 -3.0429 Bi
7.0506 -5.1632 -2.7274 Bi
-2.3287 -2.5698 -1.1551 Cl
-0.0390 -1.1499 -4.0984 Cl
2.2952 1.5824 -2.3641 Cl
7.6452 -2.6731 -3.2231 Cl
5.3839 -5.2731 -4.7298 Cl
5.1640 -4.4897 -1.0581 Cl
1.1039 -4.7379 -4.8392 Cl
-1.1177 -6.1635 -2.1604 Cl
1.3923 -3.4982 -1.3004 Cl
```

**Density of states at the Fermi level**: 0.00 states/eV/cell
**Polymorph energy (0 for the lowest one)**: 0.0 meV per atom
**Space group**: No. 150
**Final energy**: -3.418 eV per atom
**Raw formation energy**: -34.4 kcal/mol of atoms



The following is a DFT calculation (PBE-GGA) of an optimized crystal structure of Cs3BiCl7.

Structure (POSCAR):
```
Cs3BiCl7
1.0
7.5234 0.0000 0.0000
0.0000 10.5837 0.0000
0.0000 0.0000 10.5837
Cs Bi Cl
6 2 14
Cartesian
3.7617 1.8616 7.1534 Cs
3.7617 7.1534 8.7221 Cs
3.7617 3.4303 1.8616 Cs
3.7617 8.7221 3.4303 Cs
0.0000 5.2918 5.2918 Cs
0.0000 0.0000 0.0000 Cs
0.0000 0.0000 5.2918 Bi
0.0000 5.2918 0.0000 Bi
5.5859 4.0163 9.3081 Cl
5.5859 6.5674 1.2755 Cl
5.5859 1.2755 4.0163 Cl
5.5859 9.3081 6.5674 Cl
1.9375 4.0163 9.3081 Cl
1.9375 9.3081 6.5674 Cl
1.9375 1.2755 4.0163 Cl
1.9375 6.5674 1.2755 Cl
3.7617 0.0000 0.0000 Cl
3.7617 5.2918 5.2918 Cl
0.0000 8.7164 3.4245 Cl
0.0000 3.4245 1.8673 Cl
0.0000 7.1592 8.7163 Cl
0.0000 1.8673 7.1592 Cl
```

**Density of states at the Fermi level**: 26.60 states/eV/cell
**Space group**: No. 127
**Final energy**: -3.203 eV per atom
**Raw formation energy**: -33.3 kcal/mol of atoms



The following is a DFT calculation (PBE-GGA) of an optimized crystal structure of Cs2Bi2Cl.

Structure (POSCAR):
```
Cs2Bi2Cl
1.0
4.5206 0.0000 0.0000
0.0000 4.5206 0.0000
2.2603 2.2603 10.8270
Cs Bi Cl
2 2 1
Cartesian
2.2603 2.2603 1.9838 Cs
4.5206 4.5206 8.8432 Cs
4.5206 2.2603 5.4135 Bi
2.2603 4.5206 5.4135 Bi
0.0000 0.0000 0.0000 Cl
```

**Density of states at the Fermi level**: 1.52 states/eV/cell
**Space group**: No. 139
**Final energy**: -3.147 eV per atom
**Raw formation energy**: -20.4 kcal/mol of atoms



- Look up the density of states at the Fermi level of the fourth one.
  1.52 states/eV/cell